Density functional theory data (PBE) for an optimized crystal structure of CrOs3.

The formation energy is 13.5 kJ/mol of atoms. Its space group is P4/mmm.

a = 2.7040 Å, b = 2.7040 Å, c = 7.5506 Å
α = 90.00°, β = 90.00°, γ = 90.00°
Positions (direct):
Os: 0.5000 0.5000 0.2417
Cr: 0.0000 0.0000 0.0000
Os: 0.5000 0.5000 0.7583
Os: 0.0000 0.0000 0.5000

Density functional theory data (PBE) for an optimized crystal structure of TmTl2IO6.

The value obtained for the energy relative to the elements, uncorrected is -1.18 eV/atom. Its space group is P-3m1.

a = 5.8052 Å, b = 6.5434 Å, c = 6.5434 Å
α = 120.00°, β = 90.00°, γ = 90.00°
Positions (direct):
I: 0.0000 0.0000 0.0000
Tl: 0.9303 0.6667 0.3333
O: 0.7961 0.1336 0.2671
O: 0.7961 0.7329 0.8664
O: 0.7961 0.1336 0.8664
O: 0.2039 0.8664 0.7329
O: 0.2039 0.8664 0.1336
O: 0.2039 0.2671 0.1336
Tm: 0.5000 0.0000 0.0000
Tl: 0.0697 0.3333 0.6667

Density functional theory data (PBE) for an optimized crystal structure of YMgTe.

The value obtained for the energy relative to the elements, uncorrected is -0.23 eV/atom. Its space group is F-43m.

a = 5.1683 Å, b = 5.1683 Å, c = 5.1683 Å
α = 60.00°, β = 60.00°, γ = 60.00°
Site moments in Bohr magnetons follow the coordinates.
Positions (direct):
Te: 0.5000 0.5000 0.5000  0.00
Y: 0.7500 0.7500 0.7500  0.24
Mg: 0.0000 0.0000 0.0000  0.02

Density functional theory data (PBE) for an optimized crystal structure of CeSbAu.

The value obtained for the energy relative to the elements, uncorrected is -0.62 eV/atom. Its space group is I4mm.

a = 4.0695 Å, b = 4.0695 Å, c = 5.4745 Å
α = 111.82°, β = 111.82°, γ = 90.00°
Site moments in Bohr magnetons follow the coordinates.
Positions (direct):
Sb: 0.2778 0.2778 0.5557  0.02
Ce: 0.6198 0.6198 0.2395  -0.32
Au: 0.9524 0.9524 0.9048  0.02

Density functional theory data (PBE) for an optimized crystal structure of La6DyEr2Sc.

The formation energy is 18.2 kJ/mol of atoms. Its space group is C2/m.

a = 8.8224 Å, b = 7.1348 Å, c = 6.7357 Å
α = 121.98°, β = 103.66°, γ = 90.00°
Positions (direct):
La: 0.4319 0.6367 0.2734
Sc: 0.5000 0.0000 0.0000
Er: 0.1765 0.0905 0.1809
La: 0.2046 0.0485 0.6520
Er: 0.8235 0.9095 0.8191
Dy: 0.0000 0.5000 0.0000
La: 0.2046 0.6035 0.6520
La: 0.7954 0.9515 0.3480
La: 0.7954 0.3965 0.3480
La: 0.5681 0.3633 0.7266

Density functional theory data (PBE) for an optimized crystal structure of LaDy3Y6Ho2.

The formation energy is 2.2 kJ/mol of atoms. Its space group is C2/m.

a = 6.1840 Å, b = 6.1840 Å, c = 11.8394 Å
α = 94.97°, β = 94.97°, γ = 119.96°
Positions (direct):
Y: 0.9153 0.5807 0.7479
Y: 0.5807 0.9153 0.7479
Ho: 0.3334 0.6666 0.0000
Dy: 0.5000 0.5000 0.5000
Y: 0.7498 0.7498 0.2521
Y: 0.4193 0.0847 0.2521
Y: 0.0847 0.4193 0.2521
Ho: 0.6666 0.3334 0.0000
Dy: 0.8329 0.1671 0.5000
La: 0.0000 0.0000 0.0000
Y: 0.2502 0.2502 0.7479
Dy: 0.1671 0.8329 0.5000

Density functional theory data (PBE) for an optimized crystal structure of Ac3TbCr2N6.

The value obtained for the energy relative to the elements, uncorrected is -0.97 eV/atom. Its space group is P-3m1.

a = 5.9653 Å, b = 5.9653 Å, c = 6.9902 Å
α = 90.00°, β = 90.00°, γ = 120.00°
Site moments in Bohr magnetons follow the coordinates.
Positions (direct):
Cr: 0.3333 0.6667 0.2117  0.38
N: 0.1735 0.8265 0.2885  -0.02
N: 0.3470 0.1735 0.7115  -0.02
Ac: 0.6667 0.3333 0.3140  0.01
N: 0.8265 0.1735 0.7115  -0.02
N: 0.6530 0.8265 0.2885  -0.02
Tb: 0.0000 0.0000 0.5000  0.07
N: 0.8265 0.6530 0.7115  -0.02
Ac: 0.3333 0.6667 0.6860  0.01
Ac: 0.0000 0.0000 0.0000  0.01
N: 0.1735 0.3470 0.2885  -0.02
Cr: 0.6667 0.3333 0.7883  0.38

Density functional theory data (PBE) for an optimized crystal structure of Ac4Sb2C.

The value obtained for the energy relative to the elements, uncorrected is -0.56 eV/atom. Its space group is I4/mmm.

a = 5.3237 Å, b = 5.3237 Å, c = 9.3866 Å
α = 106.47°, β = 106.47°, γ = 90.00°
Positions (direct):
Sb: 0.6381 0.6381 0.2761
C: 0.0000 0.0000 0.0000
Ac: 0.0000 0.5000 0.0000
Ac: 0.5000 0.0000 0.0000
Ac: 0.1626 0.1626 0.3253
Sb: 0.3619 0.3619 0.7239
Ac: 0.8374 0.8374 0.6747

Density functional theory data (PBE) for an optimized crystal structure of Ba8Tl2Ag.

The formation energy is -19.6 kJ/mol of atoms. Its space group is C2/m.

a = 6.0232 Å, b = 8.3254 Å, c = 11.1607 Å
α = 106.22°, β = 105.65°, γ = 90.00°
Positions (direct):
Ba: 0.9685 0.2059 0.9370
Ba: 0.6619 0.9621 0.3239
Ba: 0.4035 0.5646 0.8069
Ag: 0.5000 0.0000 0.0000
Tl: 0.8149 0.2899 0.6298
Tl: 0.1851 0.7101 0.3702
Ba: 0.0315 0.7941 0.0630
Ba: 0.3381 0.0379 0.6761
Ba: 0.2066 0.3054 0.4131
Ba: 0.7934 0.6946 0.5869
Ba: 0.5965 0.4354 0.1931

Density functional theory data (PBE) for an optimized crystal structure of ReCN2.

The value obtained for the energy relative to the elements, uncorrected is 1.52 eV/atom. Its space group is R-3m.

a = 6.0151 Å, b = 6.0151 Å, c = 6.0151 Å
α = 25.11°, β = 25.11°, γ = 25.11°
Positions (direct):
N: 0.1149 0.1149 0.1149
C: 0.5000 0.5000 0.5000
Re: 0.0000 0.0000 0.0000
N: 0.8851 0.8851 0.8851

Density functional theory data (PBE) for an optimized crystal structure of Zr2TaMo.

The formation energy is 10.1 kJ/mol of atoms. Its space group is P2/m.

a = 4.7671 Å, b = 2.9919 Å, c = 5.5705 Å
α = 78.48°, β = 90.00°, γ = 90.00°
Positions (direct):
Zr: 0.0000 0.4487 0.4942
Ta: 0.5000 0.7500 0.7500
Zr: 0.0000 0.0513 0.0058
Mo: 0.5000 0.2500 0.2500

Density functional theory data (PBE) for an optimized crystal structure of CaIr2.

The formation energy is -9.8 kJ/mol of atoms. Its space group is Immm.

a = 5.6215 Å, b = 5.6215 Å, c = 5.6215 Å
α = 150.65°, β = 137.60°, γ = 52.40°
Positions (direct):
Ca: 0.0000 0.0000 0.0000
Ir: 0.2863 0.2863 0.0000
Ir: 0.7137 0.7137 0.0000

Density functional theory data (PBE) for an optimized crystal structure of Ho8Tl2Pb.

The formation energy is -20.8 kJ/mol of atoms. Its space group is C2/m.

a = 5.3027 Å, b = 8.5451 Å, c = 8.6041 Å
α = 118.74°, β = 107.95°, γ = 90.00°
Positions (direct):
Ho: 0.6815 0.9457 0.3630
Ho: 0.5921 0.4557 0.1843
Tl: 0.2199 0.6175 0.4399
Ho: 0.1414 0.1860 0.2827
Ho: 0.4079 0.5443 0.8157
Tl: 0.7801 0.3825 0.5601
Ho: 0.3185 0.0543 0.6370
Pb: 0.5000 0.0000 0.0000
Ho: 0.9369 0.2816 0.8737
Ho: 0.0631 0.7184 0.1263
Ho: 0.8586 0.8140 0.7173

Density functional theory data (PBE) for an optimized crystal structure of PrGd2In.

The formation energy is 10.2 kJ/mol of atoms. Its space group is R-3m.

a = 3.5564 Å, b = 3.5564 Å, c = 12.4229 Å
α = 81.77°, β = 81.77°, γ = 60.00°
Site moments in Bohr magnetons follow the coordinates.
Positions (direct):
Gd: 0.9127 0.9127 0.2620  -7.21
Pr: 0.5000 0.5000 0.5000  0.09
In: 0.0000 0.0000 0.0000  -0.01
Gd: 0.0873 0.0873 0.7380  -7.21

Density functional theory data (PBE) for an optimized crystal structure of Ce4Pu3Ge4.

The formation energy is -31.2 kJ/mol of atoms. Its space group is Amm2.

a = 4.2648 Å, b = 7.5316 Å, c = 8.7875 Å
α = 90.00°, β = 90.00°, γ = 106.45°
Site moments in Bohr magnetons follow the coordinates.
Positions (direct):
Pu: 0.3832 0.7664 0.2738  -5.10
Ce: 0.0926 0.1851 0.2494  -0.03
Pu: 0.3832 0.7664 0.7262  -5.10
Ce: 0.5783 0.1565 0.0000  0.11
Ge: 0.7395 0.4790 0.7743  0.01
Ge: 0.9356 0.8713 0.0000  0.03
Pu: 0.2893 0.5786 0.0000  4.75
Ce: 0.0926 0.1851 0.7506  -0.03
Ge: 0.7395 0.4790 0.2257  0.01
Ge: 0.9515 0.9029 0.5000  0.04
Ce: 0.6133 0.2265 0.5000  -0.10

Density functional theory data (PBE) for an optimized crystal structure of LiTiInPb2.

The formation energy is 71.7 kJ/mol of atoms. Its space group is P4/mmm.

a = 5.7579 Å, b = 5.3858 Å, c = 5.7579 Å
α = 90.00°, β = 90.00°, γ = 90.00°
Site moments in Bohr magnetons follow the coordinates.
Positions (direct):
In: 0.0000 0.0000 0.0000  0.03
Pb: 0.5000 0.0000 0.0000  -0.01
Li: 0.5000 0.5000 0.5000  0.01
Ti: 0.0000 0.5000 0.0000  1.52
Pb: 0.0000 0.0000 0.5000  -0.02

Density functional theory data (PBE) for an optimized crystal structure of La2Tb5Th.

The formation energy is 3.0 kJ/mol of atoms. Its space group is Pbam.

a = 5.1605 Å, b = 7.1745 Å, c = 14.3794 Å
α = 90.00°, β = 90.00°, γ = 90.00°
Positions (direct):
Tb: 0.0000 0.0000 0.0000
Th: 0.0000 0.0000 0.5000
La: 0.5000 0.7499 0.3761
La: 0.5000 0.2499 0.1239
Tb: 0.0000 0.0098 0.7481
Tb: 0.5000 0.2626 0.8790
Tb: 0.5000 0.2374 0.3790
La: 0.5000 0.2501 0.6239
Tb: 0.0000 0.5098 0.7519
Tb: 0.5000 0.7374 0.1210
Tb: 0.0000 0.9902 0.2519
Th: 0.0000 0.5000 0.0000
Tb: 0.0000 0.4902 0.2481
Tb: 0.0000 0.5000 0.5000
La: 0.5000 0.7501 0.8761
Tb: 0.5000 0.7626 0.6210

Density functional theory data (PBE) for an optimized crystal structure of LiAc2In6.

The formation energy is -39.6 kJ/mol of atoms. Its space group is P-3m1.

a = 6.4025 Å, b = 6.7279 Å, c = 6.7280 Å
α = 120.00°, β = 90.00°, γ = 90.00°
Positions (direct):
In: 0.3202 0.8252 0.6503
Li: 0.0000 0.0000 0.0000
Ac: 0.1577 0.3334 0.6667
In: 0.6798 0.1748 0.3497
In: 0.3203 0.3495 0.1748
In: 0.6797 0.6505 0.8252
In: 0.3203 0.8253 0.1748
In: 0.6797 0.1747 0.8252
Ac: 0.8423 0.6666 0.3333

Density functional theory data (PBE) for an optimized crystal structure of Na4Ti3MnSe8.

The value obtained for the energy relative to the elements, uncorrected is -1.07 eV/atom. Its space group is R-3m.

a = 7.5926 Å, b = 8.2325 Å, c = 7.5935 Å
α = 117.49°, β = 120.00°, γ = 90.00°
Site moments in Bohr magnetons follow the coordinates.
Positions (direct):
Ti: 0.0000 0.5000 0.5000  0.72
Se: 0.7332 0.7097 0.9715  -0.01
Se: 0.2668 0.2903 0.0285  -0.01
Se: 0.2383 0.7097 0.9715  -0.01
Se: 0.2384 0.7097 0.4767  -0.01
Se: 0.7377 0.7129 0.4754  -0.02
Mn: 0.0000 0.5000 0.0000  4.08
Se: 0.7616 0.2903 0.5233  -0.01
Na: 0.0000 0.0000 0.5000  0.00
Na: 0.0000 0.0000 0.0000  0.00
Na: 0.5000 0.0000 0.5000  0.00
Se: 0.7617 0.2903 0.0285  -0.01
Ti: 0.5000 0.5000 0.5000  0.72
Ti: 0.5000 0.5000 0.0000  0.72
Se: 0.2623 0.2871 0.5246  -0.02
Na: 0.5000 0.0000 0.0000  0.01

Density functional theory data (PBE) for an optimized crystal structure of CeHfTi2.

The formation energy is 16.0 kJ/mol of atoms. Its space group is Fm-3m.

a = 4.9083 Å, b = 4.9083 Å, c = 4.9083 Å
α = 60.00°, β = 60.00°, γ = 60.00°
Site moments in Bohr magnetons follow the coordinates.
Positions (direct):
Ce: 0.5000 0.5000 0.5000  0.31
Hf: 0.0000 0.0000 0.0000  0.09
Ti: 0.2500 0.2500 0.2500  0.42
Ti: 0.7500 0.7500 0.7500  0.42

no.,total DFT energy (no corrections) (eV per atom)
1,-10.688
2,-5.232
3,-3.958
4,-5.064
5,-4.774
6,-5.533
7,-8.147
8,-5.402
9,-2.291
10,-8.056
11,-9.840
12,-6.676
13,-4.312
14,-8.814
15,-8.069
16,-3.250
17,-5.022
18,-3.361
19,-5.194
20,-7.754